ErTmIn2Fe4 | PBE | relaxed

Final energy ... -0.22789 hartree per atom
Magnetization ... 7.5 μB/f.u.

a = 3.968 Å, b = 5.011 Å, c = 7.224 Å
α = 90.00°, β = 90.00°, γ = 90.00°
Space group Pmm2 (No. 25)
Symmetry-distinct sites (fractional):
Er: 0.000 0.000 0.000 [1 per cell]
Tm: 0.000 0.500 0.580 [1 per cell]
In: 0.500 0.000 0.639 [1 per cell]
In: 0.500 0.500 0.942 [1 per cell]
Fe: 0.000 0.000 0.374 [1 per cell]
Fe: 0.000 0.500 0.207 [1 per cell]
Fe: 0.500 0.250 0.290 [2 per cell]

YErInFe2 | PBE | relaxed

Final energy ... -0.23110 hartree per atom
Magnetization ... 1.4 μB/f.u.

a = 3.984 Å, b = 3.765 Å, c = 13.640 Å
α = 90.00°, β = 90.00°, γ = 90.00°
Space group Amm2 (No. 38)
Symmetry-distinct sites (fractional):
Y: 0.000 0.000 0.000 [2 per cell]
Er: 0.000 0.000 0.724 [2 per cell]
In: 0.500 0.000 0.362 [2 per cell]
Fe: 0.500 0.000 0.155 [2 per cell]
Fe: 0.500 0.000 0.573 [2 per cell]